Record 1
Material: Pm2Sm3In7
Method: DFT, PBE
State: relaxed Values from VASP.

Structure (Quantum ESPRESSO input):
```
&SYSTEM
  ibrav = 0, nat = 12, ntyp = 3
/
ATOMIC_SPECIES
Sm 150.36 Sm.upf
Pm 145.00 Pm.upf
In 114.82 In.upf
ATOMIC_POSITIONS angstrom
Sm 2.3032 -0.7125 2.9110
Pm 6.2211 6.9531 -0.8705
Pm 1.5751 3.2883 -0.4414
Sm 3.9791 2.7861 2.4414
Sm 3.6995 8.2365 1.6467
In 4.6546 9.7171 -1.3045
In 4.8032 3.9931 -0.4731
In 0.0000 0.0000 0.0000
In 6.9041 8.8923 1.6216
In 3.1416 0.5243 -0.0074
In 0.7746 2.1304 2.4664
In 2.9930 6.2483 -0.8388
CELL_PARAMETERS angstrom
-0.1176 0.7812 5.4000
4.7241 -2.2062 0.4221
3.0722 12.4477 -1.7340
```

Values from the calculation:
**Energy**: -3.806 eV/atom
**Calculated volume**: 361.7 Å³/f.u.
**ρ**: 7.092 g cm⁻³

=====

Record 2
Material: HfBiAs
Method: DFT, PBE
State: relaxed Values from VASP.

Structure (Quantum ESPRESSO input):
```
&SYSTEM
  ibrav = 0, nat = 18, ntyp = 3
/
ATOMIC_SPECIES
As 74.92 As.upf
Bi 208.98 Bi.upf
Hf 178.49 Hf.upf
ATOMIC_POSITIONS angstrom
As 0.4877 5.8673 5.7904
Bi 4.2142 0.5723 7.5187
As 3.8466 0.2871 0.0000
Hf 0.4358 1.5293 7.7249
Hf 3.7947 4.6251 1.9345
As 5.9715 3.1922 2.1189
Bi 4.2142 0.5723 4.0621
Hf 6.1378 1.5801 0.0000
Hf 2.7788 4.5743 5.7904
As 2.6125 2.9622 3.6715
Hf 3.7947 4.6251 9.6462
As 2.6125 2.9622 7.9093
Bi 0.8552 5.5821 9.8524
As 5.9715 3.1922 9.4619
Bi 0.8552 5.5821 1.7283
Bi 5.7214 3.4041 5.7904
Hf 0.4358 1.5293 3.8558
Bi 2.3624 2.7503 0.0000
CELL_PARAMETERS angstrom
6.7179 0.0000 0.0000
0.0000 6.1544 0.0000
0.0000 0.0000 11.5808
```

Values from the calculation:
**Energy**: -6.376 eV/atom
**Calculated volume**: 79.8 Å³/f.u.
**ρ**: 9.622 g cm⁻³

=====

Record 3
Material: CaCr4Pb
Method: DFT, PBE
State: relaxed Values from VASP.

Structure (Quantum ESPRESSO input):
```
&SYSTEM
  ibrav = 0, nat = 6, ntyp = 3
/
ATOMIC_SPECIES
Cr 52.00 Cr.upf
Ca 40.08 Ca.upf
Pb 207.20 Pb.upf
ATOMIC_POSITIONS angstrom
Cr 2.7197 4.5350 4.5350
Cr 2.7197 2.7197 2.7197
Ca 0.0000 0.0000 0.0000
Pb 5.4410 5.4410 5.4410
Cr 4.5350 4.5350 2.7197
Cr 4.5350 2.7197 4.5350
CELL_PARAMETERS angstrom
0.0000 3.6274 3.6274
3.6274 0.0000 3.6274
3.6274 3.6274 0.0000
```

Values from the calculation:
**Energy**: -6.753 eV/atom
**Calculated volume**: 95.5 Å³/f.u.
**ρ**: 7.920 g cm⁻³

=====

Record 4
Material: NpGe3Pt
Method: DFT, PBE
State: relaxed Values from VASP.

Structure (Quantum ESPRESSO input):
```
&SYSTEM
  ibrav = 0, nat = 20, ntyp = 3
/
ATOMIC_SPECIES
Pt 195.08 Pt.upf
Ge 72.64 Ge.upf
Np 237.00 Np.upf
ATOMIC_POSITIONS angstrom
Pt 4.0539 0.0732 3.8261
Ge 5.5627 -0.4516 5.7778
Ge 0.2800 6.6511 2.6484
Ge 1.9495 0.7670 5.1180
Ge 3.8933 5.4325 3.3082
Pt 4.7102 -0.7723 8.1300
Np 5.3506 4.1286 1.0749
Pt 1.7888 6.1263 4.6001
Ge 3.3299 1.2695 7.6549
Ge 0.4085 4.0845 5.0752
Ge 2.5129 4.9300 0.7713
Ge 5.4343 2.1150 3.3510
Np 0.4922 2.0710 7.3513
Pt 1.1326 6.9718 0.2962
Ge 2.6413 5.8056 6.9522
Ge 0.9719 1.6125 0.8141
Ge 3.2014 0.3939 1.4740
Ge 4.8709 4.5870 7.6121
Np 2.4292 2.9165 3.0475
Np 3.4136 3.2831 5.3787
CELL_PARAMETERS angstrom
5.8428 0.0000 0.0000
0.0000 7.8906 -0.1815
0.0000 -1.6910 8.6078
```

Values from the calculation:
**Energy**: -6.751 eV/atom
**Calculated volume**: 98.8 Å³/f.u.
**ρ**: 10.929 g cm⁻³

=====

Record 5
Material: DySeI
Method: DFT, PBE
State: relaxed Values from VASP.

Structure (Quantum ESPRESSO input):
```
&SYSTEM
  ibrav = 0, nat = 3, ntyp = 3
/
ATOMIC_SPECIES
I 126.90 I.upf
Se 78.96 Se.upf
Dy 162.50 Dy.upf
ATOMIC_POSITIONS angstrom
I 0.0000 0.0000 0.6066
Se 0.0000 2.4495 3.9600
Dy 2.1213 1.2247 2.6462
CELL_PARAMETERS angstrom
4.2426 0.0000 0.0000
-2.1213 3.6742 0.0000
0.0000 0.0000 7.2128
```

Values from the calculation:
**Energy**: -4.851 eV/atom
**Calculated volume**: 112.4 Å³/f.u.
**ρ**: 5.440 g cm⁻³
**Formation energy (no corrections)**: -1.64 eV/atom

=====

Record 6
Material: AlSi2Ru
Method: DFT, PBE
State: relaxed Values from VASP.

Structure (Quantum ESPRESSO input):
```
&SYSTEM
  ibrav = 0, nat = 4, ntyp = 3
/
ATOMIC_SPECIES
Si 28.09 Si.upf
Al 26.98 Al.upf
Ru 101.07 Ru.upf
ATOMIC_POSITIONS angstrom
Si 3.2633 2.2564 0.0000
Al 2.7311 -0.4216 1.2940
Si 0.0377 0.0261 0.0000
Ru 1.1590 1.8522 1.2691
CELL_PARAMETERS angstrom
4.8732 0.0087 0.0249
1.7289 4.5562 -0.0249
-2.7121 -3.1343 2.5631
```

Values from the calculation:
**Energy**: -6.000 eV/atom
**Calculated volume**: 56.7 Å³/f.u.
**ρ**: 5.399 g cm⁻³
**Formation energy (no corrections)**: -0.03 eV/atom

=====

Record 7
Material: Dy2SbO6
Method: DFT, PBE
State: relaxed Values from VASP.

Structure (Quantum ESPRESSO input):
```
&SYSTEM
  ibrav = 0, nat = 18, ntyp = 3
/
ATOMIC_SPECIES
O 16.00 O.upf
Sb 121.76 Sb.upf
Dy 162.50 Dy.upf
ATOMIC_POSITIONS angstrom
O -1.3354 -1.0947 -4.8096
O -2.9750 0.9960 -3.1881
O -5.0320 -3.8974 -1.5032
O -6.2111 -0.0733 -2.0462
O -0.5277 -0.4326 -1.9004
O -7.3569 -2.6309 -2.5529
Sb -5.6215 -1.9853 -1.7747
O -3.8861 -1.3397 -0.9965
Dy -3.1188 -0.8124 1.0509
Dy -6.2611 -1.6309 2.1097
O -6.6648 -2.0635 -0.0602
O -9.5763 -0.7236 -0.9638
O -4.5782 -1.9071 -3.4892
O -1.6668 -3.2471 -2.5856
Dy -2.5027 -1.1729 -2.8256
O -8.2680 -4.9666 -0.3613
Sb 0.0000 0.0000 0.0000
Dy -8.7404 -2.7977 -0.7238
CELL_PARAMETERS angstrom
-1.9723 2.6119 -3.8343
0.1092 -4.1391 -2.8757
-9.3799 -2.4434 3.1606
```

Values from the calculation:
**Energy**: -7.254 eV/atom
**Calculated volume**: 129.5 Å³/f.u.
**ρ**: 6.957 g cm⁻³
**Formation energy (no corrections)**: -2.47 eV/atom

=====

Record 8
Material: Li4NdTm3Te8
Method: DFT, PBE
State: relaxed Values from VASP.

Structure (Quantum ESPRESSO input):
```
&SYSTEM
  ibrav = 0, nat = 16, ntyp = 4
/
ATOMIC_SPECIES
Li 6.94 Li.upf
Tm 168.93 Tm.upf
Te 127.60 Te.upf
Nd 144.24 Nd.upf
ATOMIC_POSITIONS angstrom
Li -2.1716 -2.1694 3.0724
Tm 2.1716 2.1607 3.0591
Tm 4.3432 4.3301 -0.0133
Li 4.3432 0.0000 0.0000
Te 2.1116 2.2111 6.1219
Te 0.0000 4.3205 3.1342
Li 0.0000 0.0000 0.0000
Tm -2.1716 2.1607 3.0591
Li 2.1716 -2.1694 3.0724
Te -2.1116 2.2111 6.1219
Te 4.3432 0.0010 2.9839
Te 2.2316 2.1104 -0.0037
Nd 0.0000 4.3301 -0.0133
Te 6.4548 2.1104 -0.0037
Te 0.0000 -0.0092 3.0614
Te 4.3432 4.3307 3.0567
CELL_PARAMETERS angstrom
8.6864 0.0000 0.0000
0.0000 8.6603 -0.0267
-4.3432 -4.3388 6.1448
```

Values from the calculation:
**Energy**: -4.460 eV/atom
**Calculated volume**: 461.2 Å³/f.u.
**ρ**: 6.119 g cm⁻³
**Formation energy (no corrections)**: -1.27 eV/atom

=====

Record 9
Material: AcTa4Ge2
Method: DFT, PBE
State: relaxed Values from VASP.

Structure (Quantum ESPRESSO input):
```
&SYSTEM
  ibrav = 0, nat = 7, ntyp = 3
/
ATOMIC_SPECIES
Ge 72.64 Ge.upf
Ta 180.95 Ta.upf
Ac 227.00 Ac.upf
ATOMIC_POSITIONS angstrom
Ge -1.5930 -3.2247 -0.3138
Ta 1.7642 -2.9492 2.4088
Ta 1.1192 -3.5543 -0.1669
Ta -0.3589 -5.2877 1.3712
Ta -0.9579 -2.6031 2.2484
Ge 0.2762 -4.6661 3.9334
Ac 0.0000 0.0000 0.0000
CELL_PARAMETERS angstrom
-4.2002 -1.3873 1.3777
-0.1766 -3.0715 -3.6312
3.0600 -3.4320 5.8731
```

Values from the calculation:
**Energy**: -8.743 eV/atom
**Calculated volume**: 155.9 Å³/f.u.
**ρ**: 11.676 g cm⁻³

=====

Record 10
Material: TlPAu
Method: DFT, PBE
State: relaxed Values from VASP.

Structure (Quantum ESPRESSO input):
```
&SYSTEM
  ibrav = 0, nat = 3, ntyp = 3
/
ATOMIC_SPECIES
Au 196.97 Au.upf
Tl 204.38 Tl.upf
P 30.97 P.upf
ATOMIC_POSITIONS angstrom
Au 0.0000 2.3913 2.5564
Tl 2.0709 1.1956 0.0000
P 0.0000 0.0000 2.5564
CELL_PARAMETERS angstrom
4.1418 0.0000 0.0000
-2.0709 3.5869 0.0000
0.0000 0.0000 5.1128
```

Values from the calculation:
**Energy**: -3.632 eV/atom
**Calculated volume**: 76.0 Å³/f.u.
**ρ**: 9.451 g cm⁻³

=====

Record 11
Material: TaHgNO2
Method: DFT, PBE
State: relaxed Values from VASP.

Structure (Quantum ESPRESSO input):
```
&SYSTEM
  ibrav = 0, nat = 5, ntyp = 4
/
ATOMIC_SPECIES
O 16.00 O.upf
N 14.01 N.upf
Hg 200.59 Hg.upf
Ta 180.95 Ta.upf
ATOMIC_POSITIONS angstrom
O -0.1973 -0.9722 -1.7807
N -1.9475 -0.6140 0.5511
Hg 0.0000 0.0000 0.0000
O -0.7702 1.6910 -0.8379
Ta -2.9151 0.1048 -2.0675
CELL_PARAMETERS angstrom
-1.5405 3.3821 -1.6758
-0.3947 -1.9444 -3.5614
-3.8950 -1.2280 1.1021
```

Values from the calculation:
**Energy**: -4.760 eV/atom
**Calculated volume**: 70.3 Å³/f.u.
**ρ**: 10.098 g cm⁻³
**Formation energy (no corrections)**: 1.32 eV/atom

=====

Record 12
Material: Zr2ScFe
Method: DFT, PBE
State: relaxed Values from VASP.

Structure (Quantum ESPRESSO input):
```
&SYSTEM
  ibrav = 0, nat = 4, ntyp = 3
/
ATOMIC_SPECIES
Zr 91.22 Zr.upf
Sc 44.96 Sc.upf
Fe 55.84 Fe.upf
ATOMIC_POSITIONS angstrom
Zr 7.1582 4.1328 2.9223
Zr 0.0000 0.0000 0.0000
Sc 2.3861 1.3776 0.9741
Fe 4.7721 2.7552 1.9482
CELL_PARAMETERS angstrom
4.7721 0.0000 0.0000
2.3861 4.1328 0.0000
2.3861 1.3776 3.8964
```

Values from the calculation:
**Energy**: -7.740 eV/atom
**Calculated volume**: 76.8 Å³/f.u.
**ρ**: 6.121 g cm⁻³